# PBE Ac3Si4Rh4, relaxed
data_Ac3Si4Rh4
_space_group_name_H-M_alt 'I m m m'
_space_group_IT_number 71
_space_group_name_Hall '-I 2 2'
_cell_length_a 4.217
_cell_length_b 4.333
_cell_length_c 25.177
_cell_angle_alpha 90.00
_cell_angle_beta 90.00
_cell_angle_gamma 90.00
loop_
_atom_site_label
_atom_site_type_symbol
_atom_site_fract_x
_atom_site_fract_y
_atom_site_fract_z
_atom_site_occupancy
Ac1 Ac 0.000 0.000 0.000 1
Ac2 Ac 0.000 0.500 0.355 1
Si1 Si 0.000 0.000 0.452 1
Si2 Si 0.000 0.500 0.201 1
Rh1 Rh 0.000 0.000 0.249 1
Rh2 Rh 0.000 0.500 0.101 1
# uncorrected formation energy	-90	kJ/mol of atoms